# 1
Compound: Fe4PRu
Source: the Alexandria database
Functional: PBE
Structure: optimized geometry

Lattice parameters (Å, degrees): 4.726 4.726 4.726 60.00 60.00 60.00
Fractional positions:
Fe 0.125 0.125 0.125
Fe 0.125 0.125 0.625
Fe 0.125 0.625 0.125
Fe 0.625 0.125 0.125
P 0.750 0.750 0.750
Ru 0.500 0.500 0.500

Output
The space group is No. 216. As for the calculated volume: 74.6 Å³/cell. Its total energy is -7.783 eV/atom. As for the density of states at the Fermi level: 6.415 states/eV/f.u.

---

# 2
Compound: AsIrRh2
Source: the Alexandria database
Functional: PBE
Structure: optimized geometry

Lattice parameters (Å, degrees): 2.816 3.783 5.546 90.00 90.00 90.00
Fractional positions:
As 0.000 0.000 0.000
Ir 0.000 0.000 0.500
Rh 0.500 0.500 0.256
Rh 0.500 0.500 0.744

Output
The space group is No. 47. As for the calculated volume: 59.1 Å³/cell. Its total energy is -7.014 eV/atom. As for the density of states at the Fermi level: 4.901 states/eV/f.u.

---

# 3
Compound: Ce3W5C12
Source: the Alexandria database
Functional: PBE
Structure: optimized geometry

Lattice parameters (Å, degrees): 11.386 11.386 11.386 109.47 109.47 109.47
Fractional positions:
Ce 0.125 0.250 0.375
Ce 0.125 0.375 0.750
Ce 0.250 0.375 0.125
Ce 0.250 0.875 0.625
Ce 0.375 0.125 0.250
Ce 0.375 0.750 0.125
Ce 0.625 0.250 0.875
Ce 0.625 0.875 0.750
Ce 0.750 0.125 0.375
Ce 0.750 0.625 0.875
Ce 0.875 0.625 0.250
Ce 0.875 0.750 0.625
W 0.000 0.000 0.000
W 0.000 0.000 0.500
W 0.000 0.500 0.000
W 0.000 0.500 0.500
W 0.125 0.750 0.875
W 0.125 0.875 0.250
W 0.250 0.125 0.875
W 0.250 0.625 0.375
W 0.375 0.250 0.625
W 0.375 0.625 0.750
W 0.500 0.000 0.000
W 0.500 0.000 0.500
W 0.500 0.500 0.000
W 0.500 0.500 0.500
W 0.625 0.375 0.250
W 0.625 0.750 0.375
W 0.750 0.375 0.625
W 0.750 0.875 0.125
W 0.875 0.125 0.750
W 0.875 0.250 0.125
C 0.023 0.203 0.117
C 0.023 0.320 0.906
C 0.086 0.703 0.680
C 0.086 0.883 0.406
C 0.094 0.617 0.414
C 0.094 0.977 0.680
C 0.117 0.023 0.203
C 0.117 0.594 0.914
C 0.180 0.203 0.586
C 0.180 0.477 0.594
C 0.203 0.117 0.023
C 0.203 0.586 0.180
C 0.297 0.320 0.914
C 0.297 0.477 0.383
C 0.320 0.906 0.023
C 0.320 0.914 0.297
C 0.383 0.297 0.477
C 0.383 0.586 0.906
C 0.406 0.086 0.883
C 0.406 0.820 0.523
C 0.414 0.094 0.617
C 0.414 0.820 0.797
C 0.477 0.383 0.297
C 0.477 0.594 0.180
C 0.523 0.406 0.820
C 0.523 0.617 0.703
C 0.586 0.180 0.203
C 0.586 0.906 0.383
C 0.594 0.180 0.477
C 0.594 0.914 0.117
C 0.617 0.414 0.094
C 0.617 0.703 0.523
C 0.680 0.086 0.703
C 0.680 0.094 0.977
C 0.703 0.523 0.617
C 0.703 0.680 0.086
C 0.797 0.414 0.820
C 0.797 0.883 0.977
C 0.820 0.523 0.406
C 0.820 0.797 0.414
C 0.883 0.406 0.086
C 0.883 0.977 0.797
C 0.906 0.023 0.320
C 0.906 0.383 0.586
C 0.914 0.117 0.594
C 0.914 0.297 0.320
C 0.977 0.680 0.094
C 0.977 0.797 0.883

Output
The space group is No. 230. As for the calculated volume: 1136.3 Å³/cell. Its total energy is -8.930 eV/atom. As for the density of states at the Fermi level: 13.881 states/eV/f.u.

---

# 4
Compound: MgAg2Ir
Source: the Alexandria database
Functional: PBE
Structure: optimized geometry

Lattice parameters (Å, degrees): 3.992 3.992 4.156 90.00 90.00 90.00
Fractional positions:
Mg 0.000 0.000 0.000
Ag 0.000 0.500 0.500
Ag 0.500 0.000 0.500
Ir 0.500 0.500 0.000

Output
The space group is No. 123. As for the calculated volume: 66.2 Å³/cell. Its total energy is -4.035 eV/atom. As for the density of states at the Fermi level: 2.137 states/eV/f.u.

---

# 5
Compound: TcPt3C
Source: the Alexandria database
Functional: PBE
Structure: optimized geometry

Lattice parameters (Å, degrees): 4.214 4.214 4.214 90.00 90.00 90.00
Fractional positions:
Tc 0.000 0.000 0.000
Pt 0.000 0.500 0.500
Pt 0.500 0.000 0.500
Pt 0.500 0.500 0.000
C 0.500 0.500 0.500

Output
The space group is No. 221. As for the calculated volume: 74.8 Å³/cell. The energy above the most stable polymorph in this dataset comes out at 0.00 eV/f.u. Its total energy is -6.812 eV/atom. As for the density of states at the Fermi level: 5.731 states/eV/f.u.

---

# 6
Compound: SrCa2P
Source: the Alexandria database
Functional: PBE
Structure: optimized geometry

Lattice parameters (Å, degrees): 5.580 5.580 5.580 60.00 60.00 60.00
Fractional positions:
Sr 0.000 0.000 0.000
Ca 0.250 0.250 0.250
Ca 0.500 0.500 0.500
P 0.750 0.750 0.750

Output
The space group is No. 216. As for the calculated volume: 122.9 Å³/cell. Its total energy is -2.811 eV/atom. As for the density of states at the Fermi level: 3.698 states/eV/f.u.

---

Which value of calculated volume does entry 2 give?
59.1 Å³/cell